RbHfZn2F after structural relaxation, computed with GGA-PBE.

Cell: 4.9120 4.7529 4.9120 Å, 90.00 90.00 90.00°
Positions (direct):
F 0.0000 0.0000 0.0000
Zn 0.5000 0.0000 0.0000
Hf 0.5000 0.5000 0.5000
Rb 0.0000 0.5000 0.0000
Zn 0.0000 0.0000 0.5000

Properties
**Uncorrected formation energy**: 157 meV/atom
**Final energy**: -2.911 eV per atom
**Symmetry**: No. 123